VASP calculation (PBE) on a relaxed La2V2N5 crystal.

Properties
- Calculated total energy: -8.917 eV per atom
- Relative energy among the computed polymorphs: 4.4 kJ per mole of atoms
- DOS(E_F): 0.319 states/eV per atom

Lattice parameters (Å, degrees): 4.024 5.866 5.853 108.07 90.00 110.06
Element x y z (fractional)
La (0.403, 0.806, 0.689)
La (0.597, 0.194, 0.311)
V (0.162, 0.324, 0.892)
V (0.838, 0.676, 0.108)
N (0.342, 0.684, 0.062)
N (0.658, 0.316, 0.938)
N (0.158, 0.315, 0.590)
N (0.842, 0.685, 0.410)
N (0.000, 0.000, 0.000)



VASP calculation (PBE) on a relaxed La3VN5 crystal.

Properties
- Calculated total energy: -8.496 eV per atom
- DOS(E_F): 0.558 states/eV per atom

Lattice parameters (Å, degrees): 6.906 6.906 7.521 117.33 117.33 90.00
Last column: magnetic moment on the atom in μB.
Element x y z (fractional)
La (0.675, 0.175, 0.000)  0.02
La (0.325, 0.825, 0.000)  0.02
La (0.825, 0.675, 0.000)  0.02
La (0.175, 0.325, 0.000)  0.02
La (0.250, 0.250, 0.500)  0.00
La (0.750, 0.750, 0.500)  0.00
V (0.750, 0.250, 0.500)  -0.03
V (0.250, 0.750, 0.500)  -0.03
N (0.993, 0.493, 0.696)  0.07
N (0.703, 0.203, 0.696)  0.07
N (0.203, 0.993, 0.696)  0.07
N (0.493, 0.703, 0.696)  0.07
N (0.007, 0.507, 0.304)  0.07
N (0.297, 0.797, 0.304)  0.07
N (0.797, 0.007, 0.304)  0.07
N (0.507, 0.297, 0.304)  0.07
N (0.500, 0.500, 0.000)  0.36
N (0.000, 0.000, 0.000)  0.36